Entry 1:
A relaxed structure of Pm5SmSc, computed with PBE.

The structure in POSCAR format:
```
Pm5SmSc
1.0
6.685 0.000 0.000
-3.343 5.178 -1.334
0.000 1.935 12.990
Pm Sm Sc
10 2 2
direct
0.214 0.501 0.156
0.699 0.334 0.577
0.287 0.501 0.656
0.203 0.000 0.250
0.365 0.666 0.923
0.635 0.334 0.077
0.797 0.000 0.750
0.713 0.499 0.344
0.301 0.666 0.423
0.786 0.499 0.844
0.736 0.000 0.250
0.264 0.000 0.750
0.000 0.000 0.000
0.000 0.000 0.500
```

Summary:
The value obtained for the final energy is -4.793 eV/atom. As for the formation energy: 4.1 kcal/mol of atoms.

Entry 2:
A relaxed structure of Na2Er2TeO6, computed with PBE.

The structure in POSCAR format:
```
Na2Er2TeO6
1.0
-0.526 -5.848 0.005
5.098 2.488 -1.516
0.264 0.890 5.853
Na Er Te O
2 2 1 6
direct
0.838 0.162 0.000
0.162 0.838 0.000
0.335 0.665 0.500
0.665 0.335 0.500
0.000 0.000 0.500
0.744 0.744 0.700
0.052 0.390 0.699
0.256 0.256 0.300
0.390 0.052 0.699
0.948 0.610 0.301
0.610 0.948 0.301
```

Summary:
The value obtained for the final energy is -6.355 eV/atom. The uncorrected formation energy is -2296 meV/atom.

Entry 3:
A relaxed structure of TmThNi2Ge2, computed with PBE.

The structure in POSCAR format:
```
TmThNi2Ge2
1.0
4.203 0.000 0.000
-2.101 3.640 0.000
0.000 0.000 7.418
Tm Th Ni Ge
1 1 2 2
direct
0.000 0.000 0.500
0.000 0.000 0.000
0.667 0.333 0.277
0.333 0.667 0.723
0.667 0.333 0.735
0.333 0.667 0.265
```

Summary:
The value obtained for the final energy is -6.225 eV/atom. As for the formation energy: -17.9 kcal/mol of atoms.

Entry 4:
A relaxed structure of CsTbCl4, computed with PBE.

The structure in POSCAR format:
```
CsTbCl4
1.0
2.092 -7.249 1.067
5.179 0.767 -4.944
5.535 -1.451 6.495
Cs Tb Cl
2 2 8
direct
0.795 0.254 0.410
0.205 0.746 0.590
0.533 0.721 0.934
0.467 0.279 0.066
0.691 0.818 0.618
0.612 0.573 0.196
0.735 0.000 0.000
0.808 0.427 0.804
0.309 0.182 0.382
0.388 0.427 0.804
0.265 0.000 0.000
0.192 0.573 0.196
```

Summary:
The value obtained for the final energy is -4.309 eV/atom. The uncorrected formation energy is -2163 meV/atom. Its energy above the lowest structure with this stoichiometry is 0 meV/atom.

Entry 5:
A relaxed structure of Ce2TmSn, computed with PBE.

The structure in POSCAR format:
```
Ce2TmSn
1.0
4.430 0.000 0.025
0.000 4.346 0.000
-2.060 0.000 11.261
Ce Tm Sn
4 2 2
direct
0.601 0.250 0.117
0.399 0.750 0.883
0.004 0.750 0.119
0.996 0.250 0.881
0.694 0.750 0.389
0.306 0.250 0.611
0.176 0.250 0.336
0.824 0.750 0.664
```

Summary:
The value obtained for the final energy is -5.472 eV/atom. Its energy above the lowest structure with this stoichiometry is 10 meV/atom. As for the formation energy: -8.9 kcal/mol of atoms.

Entry 6:
A relaxed structure of Er8Sn2C3, computed with PBE.

The structure in POSCAR format:
```
Er8Sn2C3
1.0
6.338 0.000 0.153
0.000 7.199 0.000
-2.369 -3.600 7.083
Er Sn C
8 2 3
direct
0.937 0.601 0.202
0.063 0.399 0.798
0.900 0.093 0.187
0.100 0.907 0.813
0.610 0.669 0.819
0.610 0.150 0.819
0.390 0.850 0.181
0.390 0.331 0.181
0.330 0.255 0.510
0.670 0.745 0.490
0.500 0.000 0.000
0.000 0.255 0.000
0.000 0.745 0.000
```

Summary:
The value obtained for the final energy is -5.914 eV/atom. As for the formation energy: -8.3 kcal/mol of atoms.